Crystalline Li3V4O7F5 at its relaxed geometry, computed with GGA+U.

The structure in POSCAR format:
```
Li3V4O7F5
1.0
2.072 -4.592 0.605
-5.261 0.223 -1.060
-1.044 1.012 -8.863
O V Li F
7 4 3 5
direct
0.170 0.835 0.931
0.188 0.442 0.310
0.802 0.147 0.068
0.728 0.874 0.376
0.251 0.393 0.877
0.806 0.586 0.684
0.682 0.305 0.438
0.805 0.250 0.262
0.011 0.016 0.000
0.537 0.501 0.486
0.206 0.705 0.761
0.564 0.283 0.853
0.443 0.739 0.143
0.798 0.001 0.600
0.256 0.130 0.633
0.326 0.065 0.181
0.318 0.681 0.572
0.677 0.965 0.805
0.742 0.612 0.122
```

Output
Polymorph energy (0 for the lowest one), meV per atom: 0.0
E, eV per atom: -6.51
Density, g/cm3: 3.512